# 1
This record from Alexandria describes a relaxed structure of AcGa2Ag2. The functional is GGA-PBE.

Output
DOS at the Fermi energy, states/eV/f.u.: 3.23
Size of the total moment, μB/cell: 0.00
Space-group type: No. 12
E_tot, eV/atom: -3.5716

abc: 6.548 6.566 6.169
angles: 90.00 121.63 90.00
Atoms (fractional coordinates):
Ac1 0.000 0.000 0.000
Ac2 0.500 0.500 0.000
Ga1 0.120 0.500 0.239
Ga2 0.380 0.000 0.761
Ga3 0.620 0.000 0.239
Ga4 0.880 0.500 0.761
Ag1 0.000 0.250 0.500
Ag2 0.000 0.750 0.500
Ag3 0.500 0.250 0.500
Ag4 0.500 0.750 0.500


# 2
This record from Alexandria describes a relaxed structure of AcGaAg4. The functional is GGA-PBE.

Output
DOS at the Fermi energy, states/eV/f.u.: 2.87
Energy above the lowest structure with this stoichiometry, eV per formula unit: 0.18
Size of the total moment, μB/cell: 0.00
Space-group type: No. 63
E_tot, eV/atom: -3.2461

abc: 8.622 8.622 7.287
angles: 90.00 90.00 150.34
Atoms (fractional coordinates):
Ac1 0.118 0.882 0.750
Ac2 0.882 0.118 0.250
Ga1 0.237 0.763 0.250
Ga2 0.763 0.237 0.750
Ag1 0.076 0.924 0.250
Ag2 0.325 0.675 0.561
Ag3 0.325 0.675 0.939
Ag4 0.500 0.500 0.000
Ag5 0.500 0.500 0.500
Ag6 0.675 0.325 0.061
Ag7 0.675 0.325 0.439
Ag8 0.924 0.076 0.750


# 3
This record from Alexandria describes a relaxed structure of Ac2Ga2Ag15. The functional is GGA-PBE.

Output
DOS at the Fermi energy, states/eV/f.u.: 8.87
Size of the total moment, μB/cell: 0.00
Space-group type: No. 166
E_tot, eV/atom: -3.1069

abc: 7.392 7.392 7.392
angles: 82.94 82.94 82.94
Atoms (fractional coordinates):
Ac1 0.161 0.161 0.161
Ac2 0.839 0.839 0.839
Ga1 0.408 0.408 0.408
Ga2 0.592 0.592 0.592
Ag1 0.000 0.500 0.500
Ag2 0.153 0.153 0.656
Ag3 0.153 0.656 0.153
Ag4 0.197 0.500 0.803
Ag5 0.197 0.803 0.500
Ag6 0.344 0.847 0.847
Ag7 0.500 0.000 0.500
Ag8 0.500 0.197 0.803
Ag9 0.500 0.500 0.000
Ag10 0.500 0.803 0.197
Ag11 0.656 0.153 0.153
Ag12 0.803 0.197 0.500
Ag13 0.803 0.500 0.197
Ag14 0.847 0.344 0.847
Ag15 0.847 0.847 0.344


# 4
This record from Alexandria describes a relaxed structure of Ac3Ga2Ag3. The functional is GGA-PBE.

Output
DOS at the Fermi energy, states/eV/f.u.: 7.69
Size of the total moment, μB/cell: 0.00
Space-group type: No. 63
E_tot, eV/atom: -3.7413

abc: 6.246 6.246 16.102
angles: 90.00 90.00 135.19
Atoms (fractional coordinates):
Ac1 0.104 0.896 0.601
Ac2 0.104 0.896 0.899
Ac3 0.391 0.609 0.750
Ac4 0.609 0.391 0.250
Ac5 0.896 0.104 0.101
Ac6 0.896 0.104 0.399
Ga1 0.194 0.806 0.101
Ga2 0.194 0.806 0.399
Ga3 0.806 0.194 0.601
Ga4 0.806 0.194 0.899
Ag1 0.317 0.683 0.250
Ag2 0.389 0.611 0.544
Ag3 0.389 0.611 0.956
Ag4 0.611 0.389 0.044
Ag5 0.611 0.389 0.456
Ag6 0.683 0.317 0.750


# 5
This record from Alexandria describes a relaxed structure of AcGa9Ag3. The functional is GGA-PBE.

Output
DOS at the Fermi energy, states/eV/f.u.: 4.14
Size of the total moment, μB/cell: 0.00
Space-group type: No. 12
E_tot, eV/atom: -3.2242

abc: 7.474 7.474 7.069
angles: 99.04 99.04 134.50
Atoms (fractional coordinates):
Ac1 0.000 0.000 0.000
Ga1 0.000 0.000 0.500
Ga2 0.005 0.646 0.643
Ga3 0.287 0.502 0.783
Ga4 0.354 0.995 0.357
Ga5 0.498 0.713 0.217
Ga6 0.502 0.287 0.783
Ga7 0.646 0.005 0.643
Ga8 0.713 0.498 0.217
Ga9 0.995 0.354 0.357
Ag1 0.000 0.500 0.000
Ag2 0.500 0.000 0.000
Ag3 0.500 0.500 0.500


# 6
This record from Alexandria describes a relaxed structure of Ac2Ga5Ag3. The functional is GGA-PBE.

Output
DOS at the Fermi energy, states/eV/f.u.: 5.31
Size of the total moment, μB/cell: 0.00
Space-group type: No. 72
E_tot, eV/atom: -3.6287

abc: 9.031 9.031 9.031
angles: 106.36 88.10 138.71
Atoms (fractional coordinates):
Ac1 0.127 0.238 0.365
Ac2 0.373 0.738 0.110
Ac3 0.627 0.262 0.890
Ac4 0.873 0.762 0.635
Ga1 0.021 0.750 0.271
Ga2 0.119 0.645 0.763
Ga3 0.250 0.250 0.000
Ga4 0.381 0.145 0.526
Ga5 0.479 0.750 0.729
Ga6 0.521 0.250 0.271
Ga7 0.619 0.855 0.474
Ga8 0.750 0.750 0.000
Ga9 0.881 0.355 0.237
Ga10 0.979 0.250 0.729
Ag1 0.134 0.885 0.020
Ag2 0.250 0.750 0.500
Ag3 0.366 0.385 0.751
Ag4 0.634 0.615 0.249
Ag5 0.750 0.250 0.500
Ag6 0.866 0.115 0.980


# 7
This record from Alexandria describes a relaxed structure of AcGa2Ag3. The functional is GGA-PBE.

Output
DOS at the Fermi energy, states/eV/f.u.: 2.99
Energy above the lowest structure with this stoichiometry, eV per formula unit: 0.00
Size of the total moment, μB/cell: 0.00
Space-group type: No. 12
E_tot, eV/atom: -3.4221

abc: 9.134 9.134 10.571
angles: 108.72 108.72 28.31
Atoms (fractional coordinates):
Ac1 0.000 0.000 0.000
Ac2 0.156 0.156 0.706
Ac3 0.844 0.844 0.294
Ga1 0.205 0.205 0.122
Ga2 0.363 0.363 0.543
Ga3 0.475 0.475 0.228
Ga4 0.525 0.525 0.772
Ga5 0.637 0.637 0.457
Ga6 0.795 0.795 0.878
Ag1 0.047 0.047 0.347
Ag2 0.214 0.214 0.388
Ag3 0.332 0.332 0.036
Ag4 0.370 0.370 0.798
Ag5 0.500 0.500 0.500
Ag6 0.630 0.630 0.202
Ag7 0.668 0.668 0.964
Ag8 0.786 0.786 0.612
Ag9 0.953 0.953 0.653


# 8
This record from Alexandria describes a relaxed structure of Ac4GaAg. The functional is GGA-PBE.

Output
DOS at the Fermi energy, states/eV/f.u.: 8.54
Size of the total moment, μB/cell: 0.00
Space-group type: No. 123
E_tot, eV/atom: -3.8000

abc: 5.440 5.440 7.799
angles: 90.00 90.00 90.00
Atoms (fractional coordinates):
Ac1 0.000 0.500 0.246
Ac2 0.000 0.500 0.754
Ac3 0.500 0.000 0.246
Ac4 0.500 0.000 0.754
Ga1 0.000 0.000 0.000
Ag1 0.500 0.500 0.500


For reference, energy relative to the elements by record: -399 -156 -105 -375 -155 -438 -303 -81 meV per atom.